[1]
ZrAu5 after structural relaxation, computed with PBE-GGA. Values from VASP.

Formation energy: -28.9 kJ per mole of atoms
Volume: 18.6 Å³ per atom

Quantum ESPRESSO input file:
```
&SYSTEM
  ibrav = 0, nat = 6, ntyp = 2
/
ATOMIC_SPECIES
Au 196.97 Au.upf
Zr 91.22 Zr.upf
CELL_PARAMETERS angstrom
5.077 0.000 0.000
-2.538 4.396 0.000
0.000 0.000 4.993
ATOMIC_POSITIONS crystal
Au 0.008 0.000 0.000
Au 0.659 0.326 0.000
Au 0.333 0.674 0.000
Au 0.000 0.333 0.500
Au 0.667 0.667 0.500
Zr 0.333 0.000 0.500
```

---

[2]
CaNd6Er2 after structural relaxation, computed with PBE-GGA. Values from VASP.

Formation energy: 5.9 kJ per mole of atoms
Volume: 35.4 Å³ per atom

Quantum ESPRESSO input file:
```
&SYSTEM
  ibrav = 0, nat = 9, ntyp = 3
/
ATOMIC_SPECIES
Ca 40.08 Ca.upf
Nd 144.24 Nd.upf
Er 167.26 Er.upf
CELL_PARAMETERS angstrom
3.663 0.000 0.000
-1.832 3.172 0.000
0.000 0.000 27.387
ATOMIC_POSITIONS crystal
Ca 0.667 0.333 0.000
Nd 0.333 0.667 0.117
Nd 0.667 0.333 0.566
Nd 0.667 0.333 0.225
Nd 0.667 0.333 0.775
Nd 0.667 0.333 0.434
Nd 0.333 0.667 0.883
Er 0.333 0.667 0.668
Er 0.333 0.667 0.332
```

---

[3]
K2ZrCu after structural relaxation, computed with PBE-GGA. Values from VASP.

Formation energy: 89.3 kJ per mole of atoms
ΔE to the lowest computed polymorph: 2.07 eV/f.u.
Volume: 28.2 Å³ per atom

Quantum ESPRESSO input file:
```
&SYSTEM
  ibrav = 0, nat = 4, ntyp = 3
/
ATOMIC_SPECIES
Cu 63.55 Cu.upf
K 39.10 K.upf
Zr 91.22 Zr.upf
CELL_PARAMETERS angstrom
6.187 0.000 0.000
0.000 4.273 0.000
0.000 0.000 4.273
ATOMIC_POSITIONS crystal
Cu 0.500 0.000 0.500
K 0.000 0.000 0.000
K 0.000 0.500 0.500
Zr 0.500 0.500 0.000
```

---

[4]
Nd2SbPd6 after structural relaxation, computed with PBE-GGA. Values from VASP.

E_form (uncorrected): -732 meV per atom
ΔE to the lowest computed polymorph: 0.05 eV/f.u.
Volume: 20.0 Å³ per atom

Quantum ESPRESSO input file:
```
&SYSTEM
  ibrav = 0, nat = 9, ntyp = 3
/
ATOMIC_SPECIES
Nd 144.24 Nd.upf
Sb 121.76 Sb.upf
Pd 106.42 Pd.upf
CELL_PARAMETERS angstrom
-2.943 -2.711 4.298
5.589 1.366 0.676
-0.434 5.438 3.133
ATOMIC_POSITIONS crystal
Nd 0.642 0.284 0.170
Nd 0.358 0.716 0.830
Sb 0.000 0.000 0.000
Pd 0.868 0.266 0.677
Pd 0.871 0.742 0.686
Pd 0.398 0.266 0.677
Pd 0.132 0.734 0.323
Pd 0.129 0.258 0.314
Pd 0.602 0.734 0.323
```

---

[5]
Ti2NiSN after structural relaxation, computed with PBE-GGA. Values from VASP.

E_form (uncorrected): -144 meV per atom
Volume: 14.0 Å³ per atom

Quantum ESPRESSO input file:
```
&SYSTEM
  ibrav = 0, nat = 5, ntyp = 4
/
ATOMIC_SPECIES
Ni 58.69 Ni.upf
S 32.06 S.upf
N 14.01 N.upf
Ti 47.87 Ti.upf
CELL_PARAMETERS angstrom
-0.419 1.522 3.603
-4.100 -1.919 0.333
1.635 -3.224 1.552
ATOMIC_POSITIONS crystal
Ni 0.500 0.500 0.500
S 0.000 0.500 0.000
N 0.000 0.000 0.000
Ti 0.000 0.000 0.500
Ti 0.500 0.000 0.000
```

---

[6]
B5C3 after structural relaxation, computed with PBE-GGA. Values from VASP.

Formation energy: 39.6 kJ per mole of atoms
ΔE to the lowest computed polymorph: 1.13 eV/f.u.
Volume: 7.2 Å³ per atom

Quantum ESPRESSO input file:
```
&SYSTEM
  ibrav = 0, nat = 8, ntyp = 2
/
ATOMIC_SPECIES
B 10.81 B.upf
C 12.01 C.upf
CELL_PARAMETERS angstrom
-3.623 1.929 -0.253
-1.689 -3.265 -0.700
-0.462 -0.384 3.693
ATOMIC_POSITIONS crystal
B 0.546 0.500 0.000
B 0.241 0.719 0.281
B 0.546 0.000 0.500
B 0.241 0.281 0.719
B 0.932 0.000 0.000
C 0.760 0.264 0.264
C 0.974 0.500 0.500
C 0.760 0.736 0.736
```

---

[7]
Sr3Al2InAu6 after structural relaxation, computed with PBE-GGA. Values from VASP.

Formation energy: -42.3 kJ per mole of atoms
Volume: 26.2 Å³ per atom

Quantum ESPRESSO input file:
```
&SYSTEM
  ibrav = 0, nat = 12, ntyp = 4
/
ATOMIC_SPECIES
Sr 87.62 Sr.upf
Al 26.98 Al.upf
In 114.82 In.upf
Au 196.97 Au.upf
CELL_PARAMETERS angstrom
-2.804 3.336 -4.856
-3.458 -4.395 3.362
-2.344 6.069 5.523
ATOMIC_POSITIONS crystal
Sr 0.333 0.667 0.639
Sr 0.667 0.333 0.361
Sr 0.000 0.000 0.000
Al 0.667 0.333 0.953
Al 0.333 0.667 0.047
In 0.000 0.000 0.500
Au 0.633 0.816 0.281
Au 0.184 0.367 0.281
Au 0.184 0.816 0.281
Au 0.816 0.633 0.719
Au 0.367 0.184 0.719
Au 0.816 0.184 0.719
```

---

[8]
LiHf3Sn after structural relaxation, computed with PBE-GGA. Values from VASP.

Formation energy: 43.3 kJ per mole of atoms
ΔE to the lowest computed polymorph: 0.00 eV/f.u.
Volume: 20.9 Å³ per atom

Quantum ESPRESSO input file:
```
&SYSTEM
  ibrav = 0, nat = 5, ntyp = 3
/
ATOMIC_SPECIES
Hf 178.49 Hf.upf
Sn 118.71 Sn.upf
Li 6.94 Li.upf
CELL_PARAMETERS angstrom
-2.747 -3.662 -1.115
3.802 -2.454 -1.311
0.439 -1.664 4.386
ATOMIC_POSITIONS crystal
Hf 0.000 0.500 0.000
Hf 0.000 0.000 0.500
Hf 0.500 0.000 0.000
Sn 0.500 0.500 0.500
Li 0.000 0.000 0.000
```

---

[9]
Ni2RhAu after structural relaxation, computed with PBE-GGA. Values from VASP.

Formation energy: 12.9 kJ per mole of atoms
Volume: 13.8 Å³ per atom

Quantum ESPRESSO input file:
```
&SYSTEM
  ibrav = 0, nat = 4, ntyp = 3
/
ATOMIC_SPECIES
Au 196.97 Au.upf
Ni 58.69 Ni.upf
Rh 102.91 Rh.upf
CELL_PARAMETERS angstrom
2.727 0.000 0.000
0.000 3.603 0.000
0.000 0.000 5.603
ATOMIC_POSITIONS crystal
Au 0.500 0.500 0.765
Ni 0.000 0.000 0.022
Ni 0.500 0.500 0.245
Rh 0.000 0.000 0.467
```

---

[10]
SrSi2Rh after structural relaxation, computed with PBE-GGA. Values from VASP.

E_form (uncorrected): -110 meV per atom
Volume: 22.1 Å³ per atom

Quantum ESPRESSO input file:
```
&SYSTEM
  ibrav = 0, nat = 4, ntyp = 3
/
ATOMIC_SPECIES
Rh 102.91 Rh.upf
Si 28.09 Si.upf
Sr 87.62 Sr.upf
CELL_PARAMETERS angstrom
-4.265 2.805 -0.198
-1.335 -1.626 4.656
3.961 2.768 -1.658
ATOMIC_POSITIONS crystal
Rh 0.158 0.658 0.500
Si 0.005 0.005 0.000
Si 0.826 0.326 0.500
Sr 0.512 0.512 0.000
```

---

[11]
BaSr3B after structural relaxation, computed with PBE-GGA. Values from VASP.

Formation energy: 170.4 kJ per mole of atoms
ΔE to the lowest computed polymorph: 7.15 eV/f.u.
Volume: 59.2 Å³ per atom

Quantum ESPRESSO input file:
```
&SYSTEM
  ibrav = 0, nat = 5, ntyp = 3
/
ATOMIC_SPECIES
Sr 87.62 Sr.upf
B 10.81 B.upf
Ba 137.33 Ba.upf
CELL_PARAMETERS angstrom
-5.858 1.031 -3.009
-3.180 -1.755 5.589
0.072 6.347 2.034
ATOMIC_POSITIONS crystal
Sr 0.000 0.500 0.000
Sr 0.000 0.000 0.500
Sr 0.500 0.000 0.000
B 0.500 0.500 0.500
Ba 0.000 0.000 0.000
```

---

[12]
MgTiC2 after structural relaxation, computed with PBE-GGA. Values from VASP.

Formation energy: 81.4 kJ per mole of atoms
ΔE to the lowest computed polymorph: 0.85 eV/f.u.
Volume: 10.3 Å³ per atom

Quantum ESPRESSO input file:
```
&SYSTEM
  ibrav = 0, nat = 4, ntyp = 3
/
ATOMIC_SPECIES
Mg 24.30 Mg.upf
C 12.01 C.upf
Ti 47.87 Ti.upf
CELL_PARAMETERS angstrom
0.000 2.742 2.742
2.742 0.000 2.742
2.742 2.742 0.000
ATOMIC_POSITIONS crystal
Mg 0.000 0.000 0.000
C 0.250 0.250 0.250
C 0.750 0.750 0.750
Ti 0.500 0.500 0.500
```

---

Total DFT energy (no corrections) / eV per cell: -26.7; -39.2; -11.1; -51.4; -34.7; -57.8; -40.2; -33.5; -21.7; -20.3; -4.8; -24.6